No. 1
A plane-wave DFT calculation with PBE-GGA was carried out for crystalline Pm3MgRh2 at its relaxed geometry.

Computed properties:
Density in g cm⁻³: 6.86
Volume in Å³/cell: 322.19
Final energy in eV/f.u.: -33.7
Formation enthalpy at 0 K in meV per atom: -520
Crystal system: orthorhombic

a b c (Å): 6.6831 7.2314 8.2876
angles (deg): 115.87 113.78 90.00
Fractional positions:
Pm: 0.5000 0.2500 0.0000
Pm: 0.5000 0.7500 0.0000
Pm: 0.7793 0.0293 0.5587
Pm: 0.2207 0.4707 0.4413
Pm: 0.2207 0.9707 0.4413
Pm: 0.7793 0.5293 0.5587
Mg: 0.0000 0.5000 0.0000
Mg: 0.0000 0.0000 0.0000
Rh: 0.5728 0.3632 0.7264
Rh: 0.8464 0.1368 0.2736
Rh: 0.1536 0.8632 0.7264
Rh: 0.4272 0.6368 0.2736

---

No. 2
A plane-wave DFT calculation with PBE-GGA was carried out for crystalline PmMg3Rh at its relaxed geometry.

Computed properties:
Density in g cm⁻³: 4.41
Volume in Å³/cell: 120.77
Final energy in eV/f.u.: -17.7
Formation enthalpy at 0 K in meV per atom: -172
Crystal system: cubic
Polymorph energy (0 for the lowest one) in eV/f.u.: 0.932

a b c (Å): 4.9430 4.9430 4.9430
angles (deg): 90.00 90.00 90.00
Fractional positions:
Mg: 0.0000 0.5000 0.0000
Mg: 0.0000 0.0000 0.5000
Mg: 0.5000 0.0000 0.0000
Rh: 0.0000 0.0000 0.0000
Pm: 0.5000 0.5000 0.5000

---

No. 3
A plane-wave DFT calculation with PBE-GGA was carried out for crystalline Pm4Mg5Rh2 at its relaxed geometry.

Computed properties:
Density in g cm⁻³: 5.16
Volume in Å³/cell: 291.99
Final energy in eV/f.u.: -45.3
Formation enthalpy at 0 K in meV per atom: -326
Crystal system: monoclinic

a b c (Å): 3.7486 7.9451 9.8223
angles (deg): 93.50 90.00 90.00
Fractional positions:
Pm: 0.5000 0.7898 0.5527
Pm: 0.5000 0.1701 0.8485
Pm: 0.5000 0.2102 0.4473
Pm: 0.5000 0.8299 0.1515
Mg: 0.0000 0.5506 0.3253
Mg: 0.0000 0.1798 0.1548
Mg: 0.0000 0.5000 0.0000
Mg: 0.0000 0.8202 0.8452
Mg: 0.0000 0.4494 0.6747
Rh: 0.0000 0.0743 0.6451
Rh: 0.0000 0.9257 0.3549

---

No. 4
A plane-wave DFT calculation with PBE-GGA was carried out for crystalline Pm2Mg2Rh at its relaxed geometry.

Computed properties:
Density in g cm⁻³: 5.60
Volume in Å³/cell: 261.91
Final energy in eV/f.u.: -21.7
Formation enthalpy at 0 K in meV per atom: -323
Crystal system: monoclinic
Polymorph energy (0 for the lowest one) in eV/f.u.: 0.000

a b c (Å): 7.1108 6.5556 7.7456
angles (deg): 74.12 59.70 57.16
Fractional positions:
Pm: 0.6015 0.4122 0.7597
Pm: 0.3985 0.5878 0.2403
Pm: 0.0137 0.5878 0.7597
Pm: 0.9863 0.4122 0.2403
Mg: 0.7798 0.0000 0.4093
Mg: 0.6045 0.0000 0.1361
Mg: 0.3955 0.0000 0.8639
Mg: 0.2202 0.0000 0.5907
Rh: 0.1198 0.7603 0.0000
Rh: 0.8802 0.2397 0.0000

---

No. 5
A plane-wave DFT calculation with PBE-GGA was carried out for crystalline PmMg2Rh2 at its relaxed geometry.

Computed properties:
Density in g cm⁻³: 6.37
Volume in Å³/cell: 104.15
Final energy in eV/f.u.: -24.9
Formation enthalpy at 0 K in meV per atom: -442
Crystal system: trigonal
Polymorph energy (0 for the lowest one) in eV/f.u.: 0.244

a b c (Å): 4.7204 4.7204 5.3969
angles (deg): 90.00 90.00 60.01
Fractional positions:
Pm: 0.5000 0.0000 0.0000
Mg: 0.8333 0.3333 0.6384
Mg: 0.1667 0.6667 0.3616
Rh: 0.8334 0.3334 0.1488
Rh: 0.1666 0.6666 0.8512

---

No. 6
A plane-wave DFT calculation with PBE-GGA was carried out for crystalline PmMg2Rh at its relaxed geometry.

Computed properties:
Density in g cm⁻³: 5.78
Volume in Å³/cell: 85.14
Final energy in eV/f.u.: -16.5
Formation enthalpy at 0 K in meV per atom: -293
Crystal system: tetragonal
Polymorph energy (0 for the lowest one) in eV/f.u.: 0.688

a b c (Å): 3.2595 3.2595 8.0141
angles (deg): 90.00 90.00 90.00
Fractional positions:
Mg: 0.0000 0.0000 0.8206
Mg: 0.0000 0.0000 0.1794
Rh: 0.5000 0.5000 0.0000
Pm: 0.5000 0.5000 0.5000

---

No. 7
A plane-wave DFT calculation with PBE-GGA was carried out for crystalline Pm7Mg2Rh2 at its relaxed geometry.

Computed properties:
Density in g cm⁻³: 6.48
Volume in Å³/cell: 325.32
Final energy in eV/f.u.: -53.9
Formation enthalpy at 0 K in meV per atom: -254
Crystal system: orthorhombic
Polymorph energy (0 for the lowest one) in eV/f.u.: 0.000

a b c (Å): 3.7354 9.8660 9.8660
angles (deg): 66.73 79.09 79.09
Fractional positions:
Pm: 0.8587 0.0293 0.2534
Pm: 0.8397 0.4565 0.8641
Pm: 0.5000 0.1021 0.8979
Pm: 0.6787 0.4062 0.2363
Pm: 0.3213 0.7637 0.5938
Pm: 0.1413 0.7466 0.9707
Pm: 0.1603 0.1359 0.5435
Mg: 0.0000 0.6385 0.3615
Mg: 0.5000 0.4125 0.5875
Rh: 0.6833 0.8980 0.7354
Rh: 0.3167 0.2646 0.1020

---

No. 8
A plane-wave DFT calculation with PBE-GGA was carried out for crystalline Pm2Mg2Rh3 at its relaxed geometry.

Computed properties:
Density in g cm⁻³: 7.35
Volume in Å³/cell: 146.15
Final energy in eV/f.u.: -38.5
Formation enthalpy at 0 K in meV per atom: -538
Crystal system: monoclinic

a b c (Å): 4.8223 7.7556 4.8314
angles (deg): 108.12 119.94 90.00
Fractional positions:
Pm: 0.3869 0.1604 0.7738
Pm: 0.6131 0.8396 0.2262
Mg: 0.1319 0.3945 0.2639
Mg: 0.8681 0.6055 0.7361
Rh: 0.0000 0.0000 0.0000
Rh: 0.2531 0.7573 0.5063
Rh: 0.7469 0.2427 0.4937

---

No. 9
A plane-wave DFT calculation with PBE-GGA was carried out for crystalline Pm3Mg2Rh3 at its relaxed geometry.

Computed properties:
Density in g cm⁻³: 7.42
Volume in Å³/cell: 177.34
Final energy in eV/f.u.: -43.6
Formation enthalpy at 0 K in meV per atom: -515
Crystal system: orthorhombic
Polymorph energy (0 for the lowest one) in eV/f.u.: 0.610

a b c (Å): 3.4164 5.0068 10.8015
angles (deg): 103.40 99.10 90.00
Fractional positions:
Pm: 0.6202 0.6202 0.2405
Pm: 0.3798 0.3798 0.7595
Pm: 0.5000 0.0000 0.0000
Mg: 0.7257 0.2257 0.4515
Mg: 0.2743 0.7743 0.5485
Rh: 0.1211 0.1211 0.2423
Rh: 0.0000 0.5000 0.0000
Rh: 0.8789 0.8789 0.7577

---

No. 10
A plane-wave DFT calculation with PBE-GGA was carried out for crystalline PmMg8Rh2 at its relaxed geometry.

Computed properties:
Density in g cm⁻³: 3.68
Volume in Å³/cell: 246.00
Final energy in eV/f.u.: -33.9
Formation enthalpy at 0 K in meV per atom: -158
Crystal system: monoclinic

a b c (Å): 5.2325 7.2706 7.2706
angles (deg): 113.27 82.08 82.08
Fractional positions:
Pm: 0.5000 0.0000 0.0000
Mg: 0.9217 0.0703 0.3315
Mg: 0.9217 0.3315 0.0703
Mg: 0.2719 0.4215 0.4215
Mg: 0.5000 0.2694 0.7306
Mg: 0.5000 0.7306 0.2694
Mg: 0.7281 0.5785 0.5785
Mg: 0.0783 0.6685 0.9297
Mg: 0.0783 0.9297 0.6685
Rh: 0.0000 0.6929 0.3071
Rh: 0.0000 0.3071 0.6929

---

No. 11
A plane-wave DFT calculation with PBE-GGA was carried out for crystalline Pm3MgRh4 at its relaxed geometry.

Computed properties:
Density in g cm⁻³: 8.95
Volume in Å³/cell: 161.55
Final energy in eV/f.u.: -50.3
Formation enthalpy at 0 K in meV per atom: -633
Crystal system: monoclinic

a b c (Å): 4.8631 4.8631 7.6443
angles (deg): 108.52 108.50 89.96
Fractional positions:
Mg: 0.5000 0.0000 0.0000
Rh: 0.3784 0.3785 0.7564
Rh: 0.6216 0.6215 0.2436
Rh: 0.1215 0.1215 0.2436
Rh: 0.8785 0.8785 0.7564
Pm: 0.0000 0.5000 0.0000
Pm: 0.7441 0.2440 0.4880
Pm: 0.2559 0.7560 0.5120

---

Repeat the fifth record exactly.
A plane-wave DFT calculation with PBE-GGA was carried out for crystalline PmMg2Rh2 at its relaxed geometry.

Computed properties:
Density in g cm⁻³: 6.37
Volume in Å³/cell: 104.15
Final energy in eV/f.u.: -24.9
Formation enthalpy at 0 K in meV per atom: -442
Crystal system: trigonal
Polymorph energy (0 for the lowest one) in eV/f.u.: 0.244

a b c (Å): 4.7204 4.7204 5.3969
angles (deg): 90.00 90.00 60.01
Fractional positions:
Pm: 0.5000 0.0000 0.0000
Mg: 0.8333 0.3333 0.6384
Mg: 0.1667 0.6667 0.3616
Rh: 0.8334 0.3334 0.1488
Rh: 0.1666 0.6666 0.8512

---

volume of number 5 (PmMg2Rh2)?
104.15 Å³/cell

---

The highest volume belongs to which entry?
Pm7Mg2Rh2

---

Which formula does entry 2 have?
PmMg3Rh